No. 1
! KSiB, relaxed, DFT PBE; values from VASP
! raw formation energy = 194 meV per atom
! symmetry = C2/m
! volume = 135.3 Å³/cell
&SYSTEM
  ibrav = 0, nat = 6, ntyp = 3
/
ATOMIC_SPECIES
K 39.10 K.upf
B 10.81 B.upf
Si 28.09 Si.upf
ATOMIC_POSITIONS crystal
K 0.1525 0.9926 0.4691
K 0.1551 0.6263 0.1520
B 0.9862 0.3095 0.8105
B 0.3214 0.3095 0.8105
Si 0.6540 0.0695 0.9300
Si 0.6536 0.5495 0.6910
CELL_PARAMETERS angstrom
-1.9981 3.1034 -3.0135
-5.1633 -2.6562 0.6788
-3.3269 1.7653 4.0240

***

No. 2
! KSiB, relaxed, DFT PBE; values from VASP
! raw formation energy = 392 meV per atom
! symmetry = Pnma
! volume = 305.7 Å³/cell
&SYSTEM
  ibrav = 0, nat = 12, ntyp = 3
/
ATOMIC_SPECIES
K 39.10 K.upf
B 10.81 B.upf
Si 28.09 Si.upf
ATOMIC_POSITIONS crystal
K 0.8605 0.2500 0.3876
K 0.6395 0.7500 0.8876
K 0.1395 0.7500 0.6124
K 0.3605 0.2500 0.1124
B 0.0000 0.0000 0.0000
B 0.5000 0.5000 0.5000
B 0.5000 0.0000 0.5000
B 0.0000 0.5000 0.0000
Si 0.1135 0.2500 0.1230
Si 0.3865 0.7500 0.6230
Si 0.8865 0.7500 0.8770
Si 0.6135 0.2500 0.3770
CELL_PARAMETERS angstrom
14.1034 0.0000 0.0000
0.0000 3.6353 0.0000
0.0000 0.0000 5.9617

***

No. 3
! K2SiBTe, relaxed, DFT PBE; values from VASP
! raw formation energy = 1065 meV per atom
! symmetry = P4/mmm
! volume = 231.2 Å³/cell
&SYSTEM
  ibrav = 0, nat = 5, ntyp = 4
/
ATOMIC_SPECIES
K 39.10 K.upf
Te 127.60 Te.upf
Si 28.09 Si.upf
B 10.81 B.upf
ATOMIC_POSITIONS crystal
K 0.0000 0.0000 0.5000
K 0.5000 0.0000 0.0000
Te 0.0000 0.0000 0.0000
Si 0.0000 0.5000 0.0000
B 0.5000 0.5000 0.5000
CELL_PARAMETERS angstrom
6.6207 0.0000 0.0000
0.0000 5.2748 0.0000
0.0000 0.0000 6.6207

***

No. 4
! KSmB12, relaxed, DFT PBE; values from VASP
! E_form = -0.315 eV/atom
! symmetry = Fm-3m
! volume = 145.0 Å³/cell
&SYSTEM
  ibrav = 0, nat = 14, ntyp = 3
/
ATOMIC_SPECIES
K 39.10 K.upf
Sm 150.36 Sm.upf
B 10.81 B.upf
ATOMIC_POSITIONS crystal
K 0.0000 0.0000 0.0000
Sm 0.5000 0.5000 0.5000
B 0.8990 0.8990 0.6010
B 0.3990 0.3990 0.1010
B 0.6010 0.8990 0.6010
B 0.1010 0.3990 0.1010
B 0.8990 0.6010 0.6010
B 0.3990 0.1010 0.1010
B 0.8990 0.6010 0.8990
B 0.3990 0.1010 0.3990
B 0.6010 0.8990 0.8990
B 0.1010 0.3990 0.3990
B 0.6010 0.6010 0.8990
B 0.1010 0.1010 0.3990
CELL_PARAMETERS angstrom
5.1070 0.0000 2.9486
1.7023 4.8150 2.9486
0.0000 0.0000 5.8971

***

No. 5
! K2SnB, relaxed, DFT PBE; values from VASP
! E_form = 0.482 eV/atom
! energy relative to the lowest polymorph listed for this composition = 0.000 eV/atom
! symmetry = I-42d
! volume = 348.1 Å³/cell
&SYSTEM
  ibrav = 0, nat = 8, ntyp = 3
/
ATOMIC_SPECIES
K 39.10 K.upf
B 10.81 B.upf
Sn 118.71 Sn.upf
ATOMIC_POSITIONS crystal
K 0.3942 0.1250 0.2500
K 0.3558 0.6250 0.2500
K 0.3750 0.6058 0.7500
K 0.8750 0.6442 0.7500
B 0.5000 0.5000 0.0000
B 0.2500 0.7500 0.5000
Sn 0.0000 0.0000 0.0000
Sn 0.7500 0.2500 0.5000
CELL_PARAMETERS angstrom
12.5791 0.0000 0.0000
0.0000 12.5791 0.0000
6.2895 6.2895 2.2001

***

No. 6
! K2SnB, relaxed, DFT PBE; values from VASP
! E_form = 1.071 eV/atom
! energy relative to the lowest polymorph listed for this composition = 0.589 eV/atom
! symmetry = Fm-3m
! volume = 126.2 Å³/cell
&SYSTEM
  ibrav = 0, nat = 4, ntyp = 3
/
ATOMIC_SPECIES
K 39.10 K.upf
B 10.81 B.upf
Sn 118.71 Sn.upf
ATOMIC_POSITIONS crystal
K 0.2500 0.2500 0.2500
K 0.7500 0.7500 0.7500
B 0.0000 0.0000 0.0000
Sn 0.5000 0.5000 0.5000
CELL_PARAMETERS angstrom
0.0000 3.9815 3.9815
3.9815 0.0000 3.9815
3.9815 3.9815 0.0000

***

No. 7
! KSn3B, relaxed, DFT PBE; values from VASP
! E_form = 0.490 eV/atom
! energy relative to the lowest polymorph listed for this composition = 0.000 eV/atom
! symmetry = Pm-3m
! volume = 132.6 Å³/cell
&SYSTEM
  ibrav = 0, nat = 5, ntyp = 3
/
ATOMIC_SPECIES
K 39.10 K.upf
B 10.81 B.upf
Sn 118.71 Sn.upf
ATOMIC_POSITIONS crystal
K 0.5000 0.5000 0.5000
B 0.0000 0.0000 0.0000
Sn 0.0000 0.5000 0.0000
Sn 0.0000 0.0000 0.5000
Sn 0.5000 0.0000 0.0000
CELL_PARAMETERS angstrom
5.0996 0.0000 0.0000
0.0000 5.0996 0.0000
0.0000 0.0000 5.0996

***

No. 8
! KSn3B, relaxed, DFT PBE; values from VASP
! E_form = 2.025 eV/atom
! energy relative to the lowest polymorph listed for this composition = 1.535 eV/atom
! symmetry = Pm-3m
! volume = 203.9 Å³/cell
&SYSTEM
  ibrav = 0, nat = 5, ntyp = 3
/
ATOMIC_SPECIES
K 39.10 K.upf
B 10.81 B.upf
Sn 118.71 Sn.upf
ATOMIC_POSITIONS crystal
K 0.0000 0.0000 0.0000
B 0.5000 0.5000 0.5000
Sn 0.0000 0.5000 0.0000
Sn 0.0000 0.0000 0.5000
Sn 0.5000 0.0000 0.0000
CELL_PARAMETERS angstrom
5.8861 0.0000 0.0000
0.0000 5.8861 0.0000
0.0000 0.0000 5.8861

***

No. 9
! KSr3B, relaxed, DFT PBE; values from VASP
! E_form = 0.357 eV/atom
! energy relative to the lowest polymorph listed for this composition = 0.000 eV/atom
! symmetry = Pm-3m
! volume = 214.2 Å³/cell
&SYSTEM
  ibrav = 0, nat = 5, ntyp = 3
/
ATOMIC_SPECIES
Sr 87.62 Sr.upf
K 39.10 K.upf
B 10.81 B.upf
ATOMIC_POSITIONS crystal
Sr 0.0000 0.5000 0.0000
Sr 0.0000 0.0000 0.5000
Sr 0.5000 0.0000 0.0000
K 0.5000 0.5000 0.5000
B 0.0000 0.0000 0.0000
CELL_PARAMETERS angstrom
5.9831 0.0000 0.0000
0.0000 5.9831 0.0000
0.0000 0.0000 5.9831

***

No. 10
! KSrB3, relaxed, DFT PBE; values from VASP
! E_form = 2.347 eV/atom
! energy relative to the lowest polymorph listed for this composition = 0.000 eV/atom
! symmetry = Pm-3m
! volume = 148.7 Å³/cell
&SYSTEM
  ibrav = 0, nat = 5, ntyp = 3
/
ATOMIC_SPECIES
Sr 87.62 Sr.upf
K 39.10 K.upf
B 10.81 B.upf
ATOMIC_POSITIONS crystal
Sr 0.0000 0.0000 0.0000
K 0.5000 0.5000 0.5000
B 0.0000 0.5000 0.0000
B 0.0000 0.0000 0.5000
B 0.5000 0.0000 0.0000
CELL_PARAMETERS angstrom
5.2976 0.0000 0.0000
0.0000 5.2976 0.0000
0.0000 0.0000 5.2976

***

No. 11
! KSrB2, relaxed, DFT PBE; values from VASP
! E_form = 1.694 eV/atom
! energy relative to the lowest polymorph listed for this composition = 0.280 eV/atom
! symmetry = I-42d
! volume = 216.9 Å³/cell
&SYSTEM
  ibrav = 0, nat = 8, ntyp = 3
/
ATOMIC_SPECIES
Sr 87.62 Sr.upf
K 39.10 K.upf
B 10.81 B.upf
ATOMIC_POSITIONS crystal
Sr 0.0000 0.0000 0.0000
Sr 0.7500 0.2500 0.5000
K 0.5000 0.5000 0.0000
K 0.2500 0.7500 0.5000
B 0.6441 0.1250 0.2500
B 0.1059 0.6250 0.2500
B 0.3750 0.3559 0.7500
B 0.8750 0.8941 0.7500
CELL_PARAMETERS angstrom
-5.3708 2.2352 5.3788
1.0103 -6.8480 3.8545
0.3217 -0.8676 6.5170

***

No. 12
! KSrB12, relaxed, DFT PBE; values from VASP
! E_form = -0.249 eV/atom
! symmetry = Fm-3m
! volume = 149.2 Å³/cell
&SYSTEM
  ibrav = 0, nat = 14, ntyp = 3
/
ATOMIC_SPECIES
K 39.10 K.upf
Sr 87.62 Sr.upf
B 10.81 B.upf
ATOMIC_POSITIONS crystal
K 0.5000 0.5000 0.5000
Sr 0.0000 0.0000 0.0000
B 0.8996 0.8996 0.6004
B 0.3996 0.3996 0.1004
B 0.6004 0.8996 0.6004
B 0.1004 0.3996 0.1004
B 0.8996 0.6004 0.6004
B 0.3996 0.1004 0.1004
B 0.8996 0.6004 0.8996
B 0.3996 0.1004 0.3996
B 0.6004 0.8996 0.8996
B 0.1004 0.3996 0.3996
B 0.6004 0.6004 0.8996
B 0.1004 0.1004 0.3996
CELL_PARAMETERS angstrom
5.1556 0.0000 2.9766
1.7185 4.8607 2.9766
0.0000 0.0000 5.9531

***

No. 13
! KSrB2, relaxed, DFT PBE; values from VASP
! E_form = 1.415 eV/atom
! energy relative to the lowest polymorph listed for this composition = 0.000 eV/atom
! symmetry = Fm-3m
! volume = 88.9 Å³/cell
&SYSTEM
  ibrav = 0, nat = 4, ntyp = 3
/
ATOMIC_SPECIES
Sr 87.62 Sr.upf
K 39.10 K.upf
B 10.81 B.upf
ATOMIC_POSITIONS crystal
Sr 0.5000 0.5000 0.5000
K 0.0000 0.0000 0.0000
B 0.2500 0.2500 0.2500
B 0.7500 0.7500 0.7500
CELL_PARAMETERS angstrom
-2.5934 0.3403 4.2726
-4.3145 2.5434 0.1155
-4.3404 -2.4516 0.4976

***

No. 14
! K2SrB4, relaxed, DFT PBE; values from VASP
! E_form = 2.256 eV/atom
! symmetry = I4/mmm
! volume = 220.6 Å³/cell
&SYSTEM
  ibrav = 0, nat = 7, ntyp = 3
/
ATOMIC_SPECIES
Sr 87.62 Sr.upf
K 39.10 K.upf
B 10.81 B.upf
ATOMIC_POSITIONS crystal
Sr 0.0000 0.0000 0.0000
K 0.6354 0.6354 0.7291
K 0.3646 0.3646 0.2709
B 0.8347 0.8347 0.3305
B 0.1653 0.1653 0.6695
B 0.0000 0.5000 0.0000
B 0.5000 0.0000 0.0000
CELL_PARAMETERS angstrom
-1.5178 2.2449 4.4697
0.1888 -4.6419 2.3955
7.0550 0.1251 5.3891

***

No. 15
! KSrB3, relaxed, DFT PBE; values from VASP
! E_form = 2.490 eV/atom
! energy relative to the lowest polymorph listed for this composition = 0.143 eV/atom
! symmetry = Pm-3m
! volume = 122.0 Å³/cell
&SYSTEM
  ibrav = 0, nat = 5, ntyp = 3
/
ATOMIC_SPECIES
Sr 87.62 Sr.upf
K 39.10 K.upf
B 10.81 B.upf
ATOMIC_POSITIONS crystal
Sr 0.5000 0.5000 0.5000
K 0.0000 0.0000 0.0000
B 0.0000 0.5000 0.0000
B 0.0000 0.0000 0.5000
B 0.5000 0.0000 0.0000
CELL_PARAMETERS angstrom
4.9600 0.0000 0.0000
0.0000 4.9600 0.0000
0.0000 0.0000 4.9600

***

No. 16
! KSr3B, relaxed, DFT PBE; values from VASP
! E_form = 1.711 eV/atom
! energy relative to the lowest polymorph listed for this composition = 1.354 eV/atom
! symmetry = Pm-3m
! volume = 347.3 Å³/cell
&SYSTEM
  ibrav = 0, nat = 5, ntyp = 3
/
ATOMIC_SPECIES
Sr 87.62 Sr.upf
K 39.10 K.upf
B 10.81 B.upf
ATOMIC_POSITIONS crystal
Sr 0.0000 0.5000 0.0000
Sr 0.0000 0.0000 0.5000
Sr 0.5000 0.0000 0.0000
K 0.0000 0.0000 0.0000
B 0.5000 0.5000 0.5000
CELL_PARAMETERS angstrom
-1.2274 4.8357 4.9518
-6.2695 1.3538 -2.8761
-2.9323 -4.9188 4.0766

***

No. 17
! KSrB2W, relaxed, DFT PBE; values from VASP
! E_form = 2.956 eV/atom
! symmetry = P4/mmm
! volume = 139.3 Å³/cell
&SYSTEM
  ibrav = 0, nat = 5, ntyp = 4
/
ATOMIC_SPECIES
Sr 87.62 Sr.upf
K 39.10 K.upf
B 10.81 B.upf
W 183.84 W.upf
ATOMIC_POSITIONS crystal
Sr 0.5000 0.5000 0.5000
K 0.0000 0.0000 0.0000
B 0.0000 0.0000 0.5000
B 0.5000 0.0000 0.0000
W 0.0000 0.5000 0.0000
CELL_PARAMETERS angstrom
5.0579 0.0000 0.0000
0.0000 5.4459 0.0000
0.0000 0.0000 5.0579

***

No. 18
! KTa2B, relaxed, DFT PBE; values from VASP
! E_form = 1.441 eV/atom
! symmetry = I-42d
! volume = 220.0 Å³/cell
&SYSTEM
  ibrav = 0, nat = 8, ntyp = 3
/
ATOMIC_SPECIES
K 39.10 K.upf
B 10.81 B.upf
Ta 180.95 Ta.upf
ATOMIC_POSITIONS crystal
K 0.0000 0.0000 0.0000
K 0.7500 0.2500 0.5000
B 0.5000 0.5000 0.0000
B 0.2500 0.7500 0.5000
Ta 0.3758 0.1250 0.2500
Ta 0.3742 0.6250 0.2500
Ta 0.3750 0.6242 0.7500
Ta 0.8750 0.6258 0.7500
CELL_PARAMETERS angstrom
6.7084 0.0000 0.0000
0.0000 6.7084 0.0000
3.3542 3.3542 4.8895

***

No. 19
! KTa3B, relaxed, DFT PBE; values from VASP
! E_form = 3.718 eV/atom
! energy relative to the lowest polymorph listed for this composition = 2.665 eV/atom
! symmetry = Pm-3m
! volume = 93.3 Å³/cell
&SYSTEM
  ibrav = 0, nat = 5, ntyp = 3
/
ATOMIC_SPECIES
K 39.10 K.upf
B 10.81 B.upf
Ta 180.95 Ta.upf
ATOMIC_POSITIONS crystal
K 0.0000 0.0000 0.0000
B 0.5000 0.5000 0.5000
Ta 0.0000 0.5000 0.0000
Ta 0.0000 0.0000 0.5000
Ta 0.5000 0.0000 0.0000
CELL_PARAMETERS angstrom
4.5349 0.0000 0.0000
0.0000 4.5349 0.0000
0.0000 0.0000 4.5349

***

No. 20
! KTa3B, relaxed, DFT PBE; values from VASP
! E_form = 1.053 eV/atom
! energy relative to the lowest polymorph listed for this composition = 0.000 eV/atom
! symmetry = Pm-3m
! volume = 95.6 Å³/cell
&SYSTEM
  ibrav = 0, nat = 5, ntyp = 3
/
ATOMIC_SPECIES
K 39.10 K.upf
B 10.81 B.upf
Ta 180.95 Ta.upf
ATOMIC_POSITIONS crystal
K 0.5000 0.5000 0.5000
B 0.0000 0.0000 0.0000
Ta 0.0000 0.5000 0.0000
Ta 0.0000 0.0000 0.5000
Ta 0.5000 0.0000 0.0000
CELL_PARAMETERS angstrom
-1.6005 -4.1965 -0.8566
1.8317 0.1560 -4.1865
3.8716 -1.8086 1.6266

***

No. 21
! KY2TaB, relaxed, DFT PBE; values from VASP
! E_form = 0.561 eV/atom
! symmetry = P4/mmm
! volume = 127.6 Å³/cell
&SYSTEM
  ibrav = 0, nat = 5, ntyp = 4
/
ATOMIC_SPECIES
Y 88.91 Y.upf
K 39.10 K.upf
B 10.81 B.upf
Ta 180.95 Ta.upf
ATOMIC_POSITIONS crystal
Y 0.0000 0.0000 0.5000
Y 0.5000 0.0000 0.0000
K 0.5000 0.5000 0.5000
B 0.0000 0.0000 0.0000
Ta 0.0000 0.5000 0.0000
CELL_PARAMETERS angstrom
-1.0828 3.3319 -3.9982
-3.8311 1.2184 2.0529
2.5945 3.8858 2.5356

***

No. 22
! KTbB12, relaxed, DFT PBE; values from VASP
! E_form = -0.297 eV/atom
! symmetry = Fm-3m
! volume = 143.9 Å³/cell
&SYSTEM
  ibrav = 0, nat = 14, ntyp = 3
/
ATOMIC_SPECIES
K 39.10 K.upf
Tb 158.93 Tb.upf
B 10.81 B.upf
ATOMIC_POSITIONS crystal
K 0.0000 0.0000 0.0000
Tb 0.5000 0.5000 0.5000
B 0.8992 0.8992 0.6008
B 0.3992 0.3992 0.1008
B 0.6008 0.8992 0.6008
B 0.1008 0.3992 0.1008
B 0.8992 0.6008 0.6008
B 0.3992 0.1008 0.1008
B 0.8992 0.6008 0.8992
B 0.3992 0.1008 0.3992
B 0.6008 0.8992 0.8992
B 0.1008 0.3992 0.3992
B 0.6008 0.6008 0.8992
B 0.1008 0.1008 0.3992
CELL_PARAMETERS angstrom
5.0940 0.0000 2.9410
1.6980 4.8026 2.9410
0.0000 0.0000 5.8820

***

No. 23
! KTcB3, relaxed, DFT PBE; values from VASP
! E_form = 0.713 eV/atom
! energy relative to the lowest polymorph listed for this composition = 0.000 eV/atom
! symmetry = Pm-3m
! volume = 75.3 Å³/cell
&SYSTEM
  ibrav = 0, nat = 5, ntyp = 3
/
ATOMIC_SPECIES
K 39.10 K.upf
B 10.81 B.upf
Tc 98.00 Tc.upf
ATOMIC_POSITIONS crystal
K 0.5000 0.5000 0.5000
B 0.0000 0.5000 0.0000
B 0.0000 0.0000 0.5000
B 0.5000 0.0000 0.0000
Tc 0.0000 0.0000 0.0000
CELL_PARAMETERS angstrom
-2.9993 1.6523 -2.4724
-2.8640 -0.6598 3.0334
0.8005 3.8306 1.5889

***

No. 24
! K2TcB2, relaxed, DFT PBE; values from VASP
! E_form = 2.219 eV/atom
! energy relative to the lowest polymorph listed for this composition = 0.000 eV/atom
! symmetry = P4/mbm
! volume = 198.7 Å³/cell
&SYSTEM
  ibrav = 0, nat = 10, ntyp = 3
/
ATOMIC_SPECIES
K 39.10 K.upf
B 10.81 B.upf
Tc 98.00 Tc.upf
ATOMIC_POSITIONS crystal
K 0.3661 0.8661 0.0000
K 0.8661 0.6339 0.0000
K 0.6339 0.1339 0.0000
K 0.1339 0.3661 0.0000
B 0.1635 0.6635 0.5000
B 0.6635 0.8365 0.5000
B 0.8365 0.3365 0.5000
B 0.3365 0.1635 0.5000
Tc 0.0000 0.0000 0.0000
Tc 0.5000 0.5000 0.0000
CELL_PARAMETERS angstrom
-3.3197 -2.5273 -7.8531
5.7618 -6.7686 -0.2573
-1.6683 -1.4649 1.1766

***

No. 25
! KTcB3, relaxed, DFT PBE; values from VASP
! E_form = 3.723 eV/atom
! energy relative to the lowest polymorph listed for this composition = 3.009 eV/atom
! symmetry = Pm-3m
! volume = 69.1 Å³/cell
&SYSTEM
  ibrav = 0, nat = 5, ntyp = 3
/
ATOMIC_SPECIES
K 39.10 K.upf
B 10.81 B.upf
Tc 98.00 Tc.upf
ATOMIC_POSITIONS crystal
K 0.0000 0.0000 0.0000
B 0.0000 0.5000 0.0000
B 0.0000 0.0000 0.5000
B 0.5000 0.0000 0.0000
Tc 0.5000 0.5000 0.5000
CELL_PARAMETERS angstrom
-0.1012 -3.8988 -1.2744
3.0179 0.7925 -2.6643
2.7778 -1.0030 2.8482

***

No. 26
! K2TcB2, relaxed, DFT PBE; values from VASP
! E_form = 2.524 eV/atom
! energy relative to the lowest polymorph listed for this composition = 0.305 eV/atom
! symmetry = I4/mmm
! volume = 121.3 Å³/cell
&SYSTEM
  ibrav = 0, nat = 5, ntyp = 3
/
ATOMIC_SPECIES
K 39.10 K.upf
B 10.81 B.upf
Tc 98.00 Tc.upf
ATOMIC_POSITIONS crystal
K 0.3550 0.3550 0.2899
K 0.6450 0.6450 0.7101
B 0.7500 0.2500 0.5000
B 0.2500 0.7500 0.5000
Tc 0.0000 0.0000 0.0000
CELL_PARAMETERS angstrom
-1.6836 -4.2724 -2.2924
2.3181 -2.8407 3.5916
-3.5029 -3.4284 3.2165